Entry from Alexandria via LeMat-Bulk: an optimized crystal structure of CoAs2P (PBE-GGA).

Values from the calculation:
Crystal system: tetragonal
Formation enthalpy at 0 K (eV per atom): 0.52

```
data_CoAs2P
_cell_length_a 4.1976
_cell_length_b 4.1976
_cell_length_c 6.9164
_cell_angle_alpha 90.00
_cell_angle_beta 90.00
_cell_angle_gamma 90.00
_space_group_name_H-M_alt 'I -4 m 2'
_space_group_IT_number 119
_space_group_name_Hall 'I -4 -2'
loop_
_atom_site_label
_atom_site_fract_x
_atom_site_fract_y
_atom_site_fract_z
_atom_site_occupancy
Co1 0.0000 0.0000 0.0000 1
As1 0.0000 0.0000 0.5000 1
As2 0.0000 0.5000 0.2500 1
P1 0.0000 0.5000 0.7500 1
```